## SrLi10Zn3 (PBE)

Data for SrLi10Zn3 after structural relaxation.

Cell lengths 9.5748, 9.5748, 9.5748 Å; angles 60.00, 60.00, 60.00 degrees
With the nearest neighbours (Å) after each atom.
Element x y z (fractional)
Sr1 0.2500 0.2500 0.2500  16 Li 3.33-3.71
Sr2 0.7500 0.7500 0.7500  16 Li 3.33-3.71
Li1 0.0000 0.0000 0.3425  2 Zn 2.67
Li2 0.0000 0.0000 0.6575  2 Zn 2.67
Li3 0.0000 0.3425 0.0000  2 Zn 2.67
Li4 0.0000 0.3425 0.6575  2 Zn 2.67
Li5 0.0000 0.6575 0.0000  2 Zn 2.67
Li6 0.0000 0.6575 0.3425  2 Zn 2.67
Li7 0.1758 0.6081 0.6081  3 Zn 2.66, 3 Li 2.93
Li8 0.3425 0.0000 0.0000  2 Zn 2.67
Li9 0.3425 0.0000 0.6575  2 Zn 2.67
Li10 0.3425 0.6575 0.0000  2 Zn 2.67
Li11 0.3919 0.3919 0.3919  3 Zn 2.66, 3 Li 2.93
Li12 0.3919 0.3919 0.8242  3 Zn 2.66, 3 Li 2.93
Li13 0.3919 0.8242 0.3919  3 Zn 2.66, 3 Li 2.93
Li14 0.6081 0.1758 0.6081  3 Zn 2.66, 3 Li 2.93
Li15 0.6081 0.6081 0.1758  3 Zn 2.66, 3 Li 2.93
Li16 0.6081 0.6081 0.6081  3 Zn 2.66, 3 Li 2.93
Li17 0.6575 0.0000 0.0000  2 Zn 2.67
Li18 0.6575 0.0000 0.3425  2 Zn 2.67
Li19 0.6575 0.3425 0.0000  2 Zn 2.67
Li20 0.8242 0.3919 0.3919  3 Zn 2.66, 3 Li 2.93
Zn1 0.2686 0.2686 0.7314  8 Li 2.66-2.67
Zn2 0.2686 0.7314 0.2686  8 Li 2.66-2.67
Zn3 0.2686 0.7314 0.7314  8 Li 2.66-2.67
Zn4 0.7314 0.2686 0.2686  8 Li 2.66-2.67
Zn5 0.7314 0.2686 0.7314  8 Li 2.66-2.67
Zn6 0.7314 0.7314 0.2686  8 Li 2.66-2.67

Properties
Mass density in g/cm³: 1.9
Size of the total moment in μB/f.u.: 0.000
Space-group type: Fm-3m
ΔH_f (0 K) in eV per atom: 0.0117

=====

## CdMoRh (PBE)

Data for CdMoRh after structural relaxation.

Cell lengths 2.8645, 3.7973, 9.1678 Å; angles 90.00, 90.00, 90.00 degrees
With the nearest neighbours (Å) after each atom.
Element x y z (fractional)
Cd1 0.0000 0.0000 0.0000  2 Cd 2.86, 5 Mo 2.88-2.93, 5 Rh 2.89-2.94
Cd2 0.5000 0.5000 0.5000  2 Cd 2.86, 5 Mo 2.88-2.93, 5 Rh 2.89-2.94
Mo1 0.0000 0.0000 0.6863  4 Rh 2.68, 2 Mo 2.86, 5 Cd 2.88-2.93
Mo2 0.5000 0.5000 0.1863  4 Rh 2.68, 2 Mo 2.86, 5 Cd 2.88-2.93
Rh1 0.0000 0.0000 0.3205  4 Mo 2.68, 2 Rh 2.86, 5 Cd 2.89-2.94
Rh2 0.5000 0.5000 0.8205  4 Mo 2.68, 2 Rh 2.86, 5 Cd 2.89-2.94

Properties
Mass density in g/cm³: 10.4
Size of the total moment in μB/f.u.: 0.000
Space-group type: Imm2
ΔH_f (0 K) in eV per atom: 0.1550

=====

## Nd4TlGaTe2 (PBE)

Data for Nd4TlGaTe2 after structural relaxation.

Cell lengths 7.4677, 4.3121, 8.2363 Å; angles 90.00, 107.62, 90.00 degrees
With the nearest neighbours (Å) after each atom.
Element x y z (fractional)
Nd1 0.2412 0.0000 0.2440  2 Ga 3.12, 3 Te 3.16-3.22, 1 Tl 3.18
Nd2 0.2429 0.5000 0.7499  1 Ga 3.13, 3 Te 3.15-3.21, 2 Tl 3.19
Nd3 0.7571 0.5000 0.2501  1 Ga 3.13, 3 Te 3.15-3.21, 2 Tl 3.19
Nd4 0.7588 0.0000 0.7560  2 Ga 3.12, 3 Te 3.16-3.22, 1 Tl 3.18
Tl1 0.5000 0.0000 0.0000  6 Nd 3.18-3.19
Ga1 0.0000 0.5000 0.0000  6 Nd 3.12-3.13
Te1 0.0000 0.0000 0.5000  6 Nd 3.15-3.16
Te2 0.5000 0.5000 0.5000  6 Nd 3.21-3.22

Properties
Mass density in g/cm³: 7.3
Size of the total moment in μB/f.u.: 0.000
Formation energy from raw total energies in eV per formula unit: -7.381
Space-group type: P2/m

=====

## PrMnP2Rh (PBE)

Data for PrMnP2Rh after structural relaxation.

Cell lengths 3.9750, 3.9750, 10.4532 Å; angles 90.00, 90.00, 90.00 degrees
With the nearest neighbours (Å) after each atom.
Element x y z (fractional)
Pr1 0.0000 0.0000 0.0000  8 P 3.16, 4 Mn 3.28, 4 Rh 3.28
Pr2 0.5000 0.5000 0.5000  8 P 3.16, 4 Mn 3.28, 4 Rh 3.28
Mn1 0.0000 0.5000 0.2500  4 P 2.30
Mn2 0.5000 0.0000 0.7500  4 P 2.30
P1 0.0000 0.0000 0.3617  2 Mn 2.30, 2 Rh 2.30
P2 0.0000 0.0000 0.6383  2 Mn 2.30, 2 Rh 2.30
P3 0.5000 0.5000 0.1383  2 Mn 2.30, 2 Rh 2.30
P4 0.5000 0.5000 0.8617  2 Mn 2.30, 2 Rh 2.30
Rh1 0.0000 0.5000 0.7500  4 P 2.30
Rh2 0.5000 0.0000 0.2500  4 P 2.30

Properties
Mass density in g/cm³: 7.3
Size of the total moment in μB/f.u.: 0.000
Space-group type: I-4m2
ΔH_f (0 K) in eV per atom: -0.9684

=====

## KTl2F3 (PBE)

Data for KTl2F3 after structural relaxation.

Cell lengths 3.5985, 11.0138, 6.9959 Å; angles 90.00, 90.00, 90.00 degrees
With the nearest neighbours (Å) after each atom.
Element x y z (fractional)
K1 0.0000 0.0916 0.0000  7 F 2.68-2.98
K2 0.0000 0.9084 0.5000  7 F 2.68-2.98
Tl1 0.0000 0.2423 0.5285  5 F 2.62-2.90
Tl2 0.0000 0.7577 0.0285  5 F 2.62-2.90
Tl3 0.5000 0.4149 0.0753  3 F 2.39-2.46
Tl4 0.5000 0.5851 0.5753  3 F 2.39-2.46
F1 0.0000 0.3307 0.8766  3 Tl 2.46-2.62
F2 0.0000 0.6693 0.3766  3 Tl 2.46-2.62
F3 0.5000 0.0880 0.6605  2 Tl 2.64, 2 K 2.90
F4 0.5000 0.2151 0.2069  1 Tl 2.39
F5 0.5000 0.7849 0.7069  1 Tl 2.39
F6 0.5000 0.9120 0.1605  2 Tl 2.64, 2 K 2.90

Properties
Mass density in g/cm³: 6.0
Size of the total moment in μB/f.u.: 0.000
Formation energy from raw total energies in eV per formula unit: -12.216
Space-group type: Pmc2_1

=====

## Ta5TcW4 (PBE)

Data for Ta5TcW4 after structural relaxation.

Cell lengths 3.2292, 3.2292, 16.1744 Å; angles 90.00, 90.00, 90.00 degrees
With the nearest neighbours (Å) after each atom.
Element x y z (fractional)
Ta1 0.0000 0.0000 0.0000  8 W 2.80
Ta2 0.0000 0.0000 0.2015  8 W 2.80-2.81
Ta3 0.0000 0.0000 0.4022  4 Tc 2.78, 4 W 2.81
Ta4 0.0000 0.0000 0.5978  4 Tc 2.78, 4 W 2.81
Ta5 0.0000 0.0000 0.7985  8 W 2.80-2.81
Tc1 0.5000 0.5000 0.5000  8 Ta 2.78
W1 0.5000 0.5000 0.1005  8 Ta 2.80-2.81
W2 0.5000 0.5000 0.3014  8 Ta 2.80-2.81
W3 0.5000 0.5000 0.6986  8 Ta 2.80-2.81
W4 0.5000 0.5000 0.8995  8 Ta 2.80-2.81

Properties
Mass density in g/cm³: 17.1
Size of the total moment in μB/f.u.: 0.000
Space-group type: P4/mmm
ΔH_f (0 K) in eV per atom: -0.1880

=====

## LaEuAlIn (PBE)

Data for LaEuAlIn after structural relaxation.

Cell lengths 7.7546, 7.7546, 7.7546 Å; angles 90.00, 90.00, 90.00 degrees
With the nearest neighbours (Å) after each atom.
Element x y z (fractional)
La1 0.0000 0.0000 0.0000  4 In 3.36, 4 Al 3.36
La2 0.0000 0.5000 0.5000  4 In 3.36, 4 Al 3.36
La3 0.5000 0.0000 0.5000  4 In 3.36, 4 Al 3.36
La4 0.5000 0.5000 0.0000  4 In 3.36, 4 Al 3.36
Eu1 0.0000 0.0000 0.5000  4 In 3.36, 4 Al 3.36
Eu2 0.0000 0.5000 0.0000  4 In 3.36, 4 Al 3.36
Eu3 0.5000 0.0000 0.0000  4 In 3.36, 4 Al 3.36
Eu4 0.5000 0.5000 0.5000  4 In 3.36, 4 Al 3.36
Al1 0.2500 0.2500 0.7500  4 La 3.36, 4 Eu 3.36
Al2 0.2500 0.7500 0.2500  4 La 3.36, 4 Eu 3.36
Al3 0.7500 0.2500 0.2500  4 La 3.36, 4 Eu 3.36
Al4 0.7500 0.7500 0.7500  4 Eu 3.36, 4 La 3.36
In1 0.2500 0.2500 0.2500  4 La 3.36, 4 Eu 3.36
In2 0.2500 0.7500 0.7500  4 La 3.36, 4 Eu 3.36
In3 0.7500 0.2500 0.7500  4 La 3.36, 4 Eu 3.36
In4 0.7500 0.7500 0.2500  4 La 3.36, 4 Eu 3.36

Properties
Mass density in g/cm³: 6.2
Size of the total moment in μB/f.u.: 7.303
Space-group type: F-43m
ΔH_f (0 K) in eV per atom: -0.3635

=====

## AlFeCl2 (PBE)

Data for AlFeCl2 after structural relaxation.

Cell lengths 3.3193, 3.3193, 26.5045 Å; angles 90.00, 90.00, 120.00 degrees
With the nearest neighbours (Å) after each atom.
Element x y z (fractional)
Al1 0.0000 0.0000 0.0000  6 Al 3.32, 6 Cl 3.46
Al2 0.3333 0.6667 0.6667  6 Al 3.32, 6 Cl 3.46
Al3 0.6667 0.3333 0.3333  6 Al 3.32, 6 Cl 3.46
Fe1 0.0000 0.0000 0.5000  6 Cl 2.45
Fe2 0.3333 0.6667 0.1667  6 Cl 2.45
Fe3 0.6667 0.3333 0.8333  6 Cl 2.45
Cl1 0.0000 0.0000 0.2245  3 Fe 2.45
Cl2 0.0000 0.0000 0.7755  3 Fe 2.45
Cl3 0.3333 0.6667 0.4422  3 Fe 2.45
Cl4 0.3333 0.6667 0.8912  3 Fe 2.45
Cl5 0.6667 0.3333 0.1088  3 Fe 2.45
Cl6 0.6667 0.3333 0.5578  3 Fe 2.45

Properties
Mass density in g/cm³: 3.0
Size of the total moment in μB/f.u.: 4.056
Formation energy from raw total energies in eV per formula unit: -0.784
Space-group type: R-3m

=====

## Sn2BiAu4 (PBE)

Data for Sn2BiAu4 after structural relaxation.

Cell lengths 6.4059, 6.9055, 15.0864 Å; angles 88.94, 84.76, 85.70 degrees
With the nearest neighbours (Å) after each atom.
Element x y z (fractional)
Sn1 0.0766 0.0380 0.1924  5 Au 2.78-2.91
Sn2 0.0999 0.2120 0.4868  5 Au 2.81-2.96
Sn3 0.3263 0.6326 0.3096  6 Au 2.79-2.94
Sn4 0.4086 0.7653 0.9997  5 Au 2.82-2.97
Sn5 0.5914 0.2347 0.0003  5 Au 2.82-2.97
Sn6 0.6737 0.3674 0.6904  6 Au 2.79-2.94
Sn7 0.9001 0.7880 0.5132  5 Au 2.81-2.96
Sn8 0.9234 0.9620 0.8076  5 Au 2.78-2.91
Bi1 0.2039 0.4743 0.8361  7 Au 2.97-3.15
Bi2 0.3888 0.8753 0.6605  7 Au 2.91-3.19
Bi3 0.6112 0.1247 0.3395  7 Au 2.91-3.19
Bi4 0.7961 0.5257 0.1639  7 Au 2.97-3.15
Au1 0.0148 0.3510 0.3167  3 Sn 2.81-2.88, 3 Au 2.92-3.05, 2 Bi 2.99-3.11
Au2 0.1066 0.2245 0.6815  3 Sn 2.84-2.94, 2 Au 2.85-2.98, 2 Bi 2.91-3.06
Au3 0.1492 0.0826 0.9429  3 Au 2.75-2.92, 2 Sn 2.78-2.82
Au4 0.1815 0.4362 0.0420  3 Au 2.81-2.92, 2 Sn 2.82-2.90, 2 Bi 2.97-3.10
Au5 0.3465 0.8577 0.4632  3 Sn 2.82-2.96, 2 Au 2.96-3.04, 2 Bi 3.02-3.09
Au6 0.3468 0.4803 0.5708  5 Au 2.79-3.04, 2 Sn 2.90-2.94, 1 Bi 3.11
Au7 0.4075 0.3064 0.1857  3 Au 2.81-3.05, 3 Sn 2.91-2.97, 2 Bi 2.98-3.00
Au8 0.4928 0.8778 0.1769  3 Sn 2.79-2.91, 2 Au 2.81-2.97, 1 Bi 2.99
Au9 0.5072 0.1222 0.8231  3 Sn 2.79-2.91, 2 Au 2.81-2.97, 1 Bi 2.99
Au10 0.5925 0.6936 0.8143  3 Au 2.81-3.05, 3 Sn 2.91-2.97, 2 Bi 2.98-3.00
Au11 0.6532 0.5197 0.4292  5 Au 2.79-3.04, 2 Sn 2.90-2.94, 1 Bi 3.11
Au12 0.6535 0.1423 0.5368  3 Sn 2.82-2.96, 2 Au 2.96-3.04, 2 Bi 3.02-3.09
Au13 0.8185 0.5638 0.9580  3 Au 2.81-2.92, 2 Sn 2.82-2.90, 2 Bi 2.97-3.10
Au14 0.8508 0.9174 0.0571  3 Au 2.75-2.92, 2 Sn 2.78-2.82
Au15 0.8934 0.7755 0.3185  3 Sn 2.84-2.94, 2 Au 2.85-2.98, 2 Bi 2.91-3.06
Au16 0.9852 0.6490 0.6833  3 Sn 2.81-2.88, 3 Au 2.92-3.05, 2 Bi 2.99-3.11

Properties
Mass density in g/cm³: 12.4
Size of the total moment in μB/f.u.: 0.000
Space-group type: P-1
ΔH_f (0 K) in eV per atom: -0.0743

=====

## FeNiBTe2 (PBE)

Data for FeNiBTe2 after structural relaxation.

Cell lengths 4.7946, 4.7946, 3.8098 Å; angles 90.00, 90.00, 90.00 degrees
With the nearest neighbours (Å) after each atom.
Element x y z (fractional)
Fe1 0.0000 0.0000 0.0000  2 B 1.90
Ni1 0.5000 0.5000 0.0000  8 Te 3.06, 4 Fe 3.39
B1 0.0000 0.0000 0.5000  2 Fe 1.90
Te1 0.0000 0.5000 0.5000  2 B 2.40
Te2 0.5000 0.0000 0.5000  2 B 2.40

Properties
Mass density in g/cm³: 7.2
Size of the total moment in μB/f.u.: 1.814
Formation energy from raw total energies in eV per formula unit: 4.124
Space-group type: P4/mmm

=====

## NaTePtN2 (PBE)

Data for NaTePtN2 after structural relaxation.

Cell lengths 4.1711, 4.1711, 6.3338 Å; angles 90.00, 90.00, 90.00 degrees
With the nearest neighbours (Å) after each atom.
Element x y z (fractional)
Na1 0.0000 0.0000 0.0000  4 N 2.09
Te1 0.0000 0.0000 0.5000  4 Pt 2.95, 2 Na 3.17
Pt1 0.5000 0.5000 0.5000  4 Te 2.95
N1 0.0000 0.5000 0.0000  2 Na 2.09
N2 0.5000 0.0000 0.0000  2 Na 2.09

Properties
Mass density in g/cm³: 5.6
Size of the total moment in μB/f.u.: 5.156
Formation energy from raw total energies in eV per formula unit: 10.388
Space-group type: P4/mmm

=====

## PmHoMgPb (PBE)

Data for PmHoMgPb after structural relaxation.

Cell lengths 7.6477, 7.6477, 7.6477 Å; angles 90.00, 90.00, 90.00 degrees
With the nearest neighbours (Å) after each atom.
Element x y z (fractional)
Pm1 0.0000 0.0000 0.0000  4 Pb 3.31, 4 Mg 3.31
Pm2 0.0000 0.5000 0.5000  4 Pb 3.31, 4 Mg 3.31
Pm3 0.5000 0.0000 0.5000  4 Pb 3.31, 4 Mg 3.31
Pm4 0.5000 0.5000 0.0000  4 Pb 3.31, 4 Mg 3.31
Ho1 0.0000 0.0000 0.5000  4 Pb 3.31, 4 Mg 3.31
Ho2 0.0000 0.5000 0.0000  4 Pb 3.31, 4 Mg 3.31
Ho3 0.5000 0.0000 0.0000  4 Pb 3.31, 4 Mg 3.31
Ho4 0.5000 0.5000 0.5000  4 Mg 3.31, 4 Pb 3.31
Mg1 0.2500 0.2500 0.7500  4 Ho 3.31, 4 Pm 3.31
Mg2 0.2500 0.7500 0.2500  4 Ho 3.31, 4 Pm 3.31
Mg3 0.7500 0.2500 0.2500  4 Ho 3.31, 4 Pm 3.31
Mg4 0.7500 0.7500 0.7500  4 Ho 3.31, 4 Pm 3.31
Pb1 0.2500 0.2500 0.2500  4 Ho 3.31, 4 Pm 3.31
Pb2 0.2500 0.7500 0.7500  4 Ho 3.31, 4 Pm 3.31
Pb3 0.7500 0.2500 0.7500  4 Ho 3.31, 4 Pm 3.31
Pb4 0.7500 0.7500 0.2500  4 Ho 3.31, 4 Pm 3.31

Properties
Mass density in g/cm³: 8.0
Size of the total moment in μB/f.u.: 0.000
Space-group type: F-43m
ΔH_f (0 K) in eV per atom: -0.2899